[1]
Below is a relaxed Tl3HSe crystal, with properties calculated at the PBE level.

Geometry as CIF:
```
data_Tl3HSe
_symmetry_space_group_name_H-M 'C 1 2/m 1'
_symmetry_Int_Tables_number 12
_cell_length_a 9.522
_cell_length_b 7.969
_cell_length_c 9.681
_cell_angle_alpha 90.00
_cell_angle_beta 116.92
_cell_angle_gamma 90.00
loop_
_symmetry_equiv_pos_as_xyz
'x,y,z'
'-x,-y,-z'
'-x,y,-z'
'x,-y,z'
'x+1/2,y+1/2,z'
'-x+1/2,-y+1/2,-z'
'-x+1/2,y+1/2,-z'
'x+1/2,-y+1/2,z'
loop_
_atom_site_label
_atom_site_fract_x
_atom_site_fract_y
_atom_site_fract_z
Tl1 0.109 0.000 0.399
Tl2 0.143 0.500 0.237
Tl3 0.237 0.500 0.851
H1 0.000 0.159 0.500
Se1 0.000 0.245 0.000
```

* energy above the most stable polymorph in this dataset: 0 meV per atom

=====

[2]
Below is a relaxed CeDyTlPd crystal, with properties calculated at the PBE level.

Geometry as CIF:
```
data_CeDyTlPd
_symmetry_space_group_name_H-M 'F -4 3 m'
_symmetry_Int_Tables_number 216
_symmetry_space_group_name_Hall 'F -4 2 3'
_cell_length_a 7.422
_cell_length_b 7.422
_cell_length_c 7.422
_cell_angle_alpha 90.00
_cell_angle_beta 90.00
_cell_angle_gamma 90.00
loop_
_atom_site_label
_atom_site_fract_x
_atom_site_fract_y
_atom_site_fract_z
Ce1 0.000 0.000 0.000
Dy1 0.000 0.000 0.500
Tl1 0.250 0.250 0.250
Pd1 0.250 0.250 0.750
```

* DOS at the Fermi energy: 7.96 states/eV/f.u.
* formation energy: -420 meV/atom

=====

Let's list density in order: 7.03; 9.97 g/cm3.
Let's list M_tot in order: 0.0; 0.7 μB/f.u..